Entry 1:
# FePC2

FePC2 after structural relaxation (GGA-PBE, the Alexandria database).

## Properties
DFT total energy, eV per atom: -7.561
DOS(E_F), states/eV/cell: 3.65
V, Å³ per cell: 103.5
Magnetic moment, μB per atom: 0.00

Lattice parameters (Å, degrees): 2.8634 3.8868 9.2988 90.00 90.00 90.00
Last column: nearest neighbours and their distance in Å.
Fractional coordinates of all 8 atoms:
C: 0.5000 0.0000 0.2604  1 C 1.38
C: 0.5000 0.5000 0.6121  1 C 1.38
Fe: 0.0000 0.0000 0.9879  2 C 1.84
P: 0.0000 0.0000 0.3754  2 C 1.79
P: 0.0000 0.5000 0.8754  2 C 1.79
Fe: 0.0000 0.5000 0.4879  2 C 1.84
C: 0.5000 0.0000 0.1121  1 C 1.38
C: 0.5000 0.5000 0.7604  1 C 1.38

=====

Entry 2:
# K3Cd2Bi2

K3Cd2Bi2 after structural relaxation (GGA-PBE, the Alexandria database).

## Properties
DFT total energy, eV per atom: -2.138
DOS(E_F), states/eV/cell: 5.01
V, Å³ per cell: 1085.1
Magnetic moment, μB per atom: 0.00

Lattice parameters (Å, degrees): 6.7104 10.3755 15.5856 90.00 90.00 90.00
Last column: nearest neighbours and their distance in Å.
Fractional coordinates of all 28 atoms:
Bi: 0.6190 0.7500 0.5000  4 Cd 3.12-3.15
K: 0.3451 0.2312 0.7500  5 Bi 3.67-3.91, 4 Cd 3.83-4.01, 2 K 4.01
Cd: 0.6209 0.0260 0.5840  3 Bi 2.98-3.15, 1 Cd 3.13
Bi: 0.1692 0.5694 0.7500  2 Cd 2.98
K: 0.1169 0.8577 0.6104  4 Bi 3.64-3.94, 4 Cd 3.71-3.89, 1 K 4.01
K: 0.1169 0.6423 0.1104  4 Bi 3.64-3.94, 4 Cd 3.71-3.89, 1 K 4.01
K: 0.8831 0.1423 0.3896  4 Bi 3.64-3.94, 4 Cd 3.71-3.89, 1 K 4.01
K: 0.1169 0.6423 0.3896  4 Bi 3.64-3.94, 4 Cd 3.71-3.89, 1 K 4.01
Bi: 0.1692 0.9306 0.2500  2 Cd 2.98
Bi: 0.8308 0.4306 0.2500  2 Cd 2.98
Cd: 0.6209 0.4740 0.4160  3 Bi 2.98-3.15, 1 Cd 3.13
Cd: 0.3791 0.9740 0.4160  3 Bi 2.98-3.15, 1 Cd 3.13
K: 0.8831 0.3577 0.8896  4 Bi 3.64-3.94, 4 Cd 3.71-3.89, 1 K 4.01
K: 0.6549 0.7688 0.2500  5 Bi 3.67-3.91, 4 Cd 3.83-4.01, 2 K 4.01
Bi: 0.3810 0.2500 0.5000  4 Cd 3.12-3.15
K: 0.6549 0.7312 0.7500  5 Bi 3.67-3.91, 4 Cd 3.83-4.01, 2 K 4.01
K: 0.1169 0.8577 0.8896  4 Bi 3.64-3.94, 4 Cd 3.71-3.89, 1 K 4.01
Bi: 0.8308 0.0694 0.7500  2 Cd 2.98
Bi: 0.6190 0.7500 0.0000  4 Cd 3.12-3.15
Cd: 0.3791 0.5260 0.5840  3 Bi 2.98-3.15, 1 Cd 3.13
Cd: 0.6209 0.0260 0.9160  3 Bi 2.98-3.15, 1 Cd 3.13
K: 0.8831 0.3577 0.6104  4 Bi 3.64-3.94, 4 Cd 3.71-3.89, 1 K 4.01
Bi: 0.3810 0.2500 0.0000  4 Cd 3.12-3.15
Cd: 0.3791 0.9740 0.0840  3 Bi 2.98-3.15, 1 Cd 3.13
K: 0.3451 0.2688 0.2500  5 Bi 3.67-3.91, 4 Cd 3.83-4.01, 2 K 4.01
Cd: 0.3791 0.5260 0.9160  3 Bi 2.98-3.15, 1 Cd 3.13
K: 0.8831 0.1423 0.1104  4 Bi 3.64-3.94, 4 Cd 3.71-3.89, 1 K 4.01
Cd: 0.6209 0.4740 0.0840  3 Bi 2.98-3.15, 1 Cd 3.13

=====

Entry 3:
# AcTm2Fe

AcTm2Fe after structural relaxation (GGA-PBE, the Alexandria database).

## Properties
DFT total energy, eV per atom: -5.072
DOS(E_F), states/eV/cell: 3.24
V, Å³ per cell: 121.6
Magnetic moment, μB per atom: 0.19
ΔE to the lowest computed polymorph, meV/atom: 206

Lattice parameters (Å, degrees): 3.6444 3.6444 10.7778 80.27 80.27 60.00
Last column: nearest neighbours and their distance in Å.
Fractional coordinates of all 4 atoms:
Ac: 0.0000 0.0000 0.0000  6 Ac 3.64, 2 Tm 3.65
Tm: 0.8848 0.8848 0.3457  3 Fe 2.66
Tm: 0.1152 0.1152 0.6543  3 Fe 2.66
Fe: 0.5000 0.5000 0.5000  6 Tm 2.66

=====

Entry 4:
# Tm5Pb2O

Tm5Pb2O after structural relaxation (GGA-PBE, the Alexandria database).

## Properties
DFT total energy, eV per atom: -5.002
DOS(E_F), states/eV/cell: 17.04
Energy relative to the elements, uncorrected, eV per atom: -0.660
V, Å³ per cell: 480.9
Magnetic moment, μB per atom: 0.05

Lattice parameters (Å, degrees): 3.5383 8.5364 16.2752 90.00 90.00 101.96
Last column: nearest neighbours and their distance in Å.
Fractional coordinates of all 16 atoms:
Tm: 0.8659 0.7319 0.8672  1 O 2.17
Pb: 0.0496 0.0992 0.6531  4 Tm 3.09-3.27, 1 Pb 3.15
Tm: 0.6790 0.3580 0.5484  2 Pb 3.27, 7 Tm 3.35-3.54
Tm: 0.1341 0.2681 0.1328  1 O 2.17
Tm: 0.8659 0.7319 0.6328  1 O 2.17
Pb: 0.9504 0.9008 0.3469  4 Tm 3.09-3.27, 1 Pb 3.15
Tm: 0.1341 0.2681 0.3672  1 O 2.17
Tm: 0.7799 0.5598 0.2500  2 O 2.25
Tm: 0.3210 0.6420 0.0484  2 Pb 3.27, 7 Tm 3.35-3.54
Tm: 0.2201 0.4402 0.7500  2 O 2.25
Tm: 0.3210 0.6420 0.4516  2 Pb 3.27, 7 Tm 3.35-3.54
O: 0.8035 0.6070 0.7500  4 Tm 2.17-2.25
Pb: 0.9504 0.9008 0.1531  4 Tm 3.09-3.27, 1 Pb 3.15
Tm: 0.6790 0.3580 0.9516  2 Pb 3.27, 7 Tm 3.35-3.54
Pb: 0.0496 0.0992 0.8469  4 Tm 3.09-3.27, 1 Pb 3.15
O: 0.1965 0.3930 0.2500  4 Tm 2.17-2.25

=====

Entry 5:
# Tb4Ho3ErS8

Tb4Ho3ErS8 after structural relaxation (GGA-PBE, the Alexandria database).

## Properties
DFT total energy, eV per atom: -6.351
DOS(E_F), states/eV/cell: 9.03
Energy relative to the elements, uncorrected, eV per atom: -1.986
V, Å³ per cell: 336.5
Magnetic moment, μB per atom: 0.00

Lattice parameters (Å, degrees): 7.8004 7.8148 7.7997 119.94 120.00 90.00
Last column: nearest neighbours and their distance in Å.
Fractional coordinates of all 16 atoms:
Tb: 0.5000 0.0000 0.5000  6 S 2.78
S: 0.7485 0.7455 0.4970  3 Ho 2.74, 3 Tb 2.78
S: 0.2508 0.2552 0.0030  1 Er 2.74, 2 Ho 2.74, 3 Tb 2.78
Tb: 0.5000 0.0000 0.0000  6 S 2.78
Ho: 0.5000 0.5000 0.5000  6 S 2.74
S: 0.2478 0.7448 0.9970  1 Er 2.74, 2 Ho 2.74, 3 Tb 2.78
Ho: 0.0000 0.5000 0.5000  6 S 2.74
Ho: 0.5000 0.5000 0.0000  6 S 2.74
Tb: 0.0000 0.0000 0.5000  6 S 2.78
Tb: 0.0000 0.0000 0.0000  6 S 2.78
S: 0.7492 0.7448 0.9970  1 Er 2.74, 2 Ho 2.74, 3 Tb 2.78
S: 0.7522 0.2552 0.5044  1 Er 2.74, 2 Ho 2.74, 3 Tb 2.78
Er: 0.0000 0.5000 0.0000  6 S 2.74
S: 0.2478 0.7448 0.4956  1 Er 2.74, 2 Ho 2.74, 3 Tb 2.78
S: 0.2515 0.2545 0.5030  3 Ho 2.74, 3 Tb 2.78
S: 0.7522 0.2552 0.0030  1 Er 2.74, 2 Ho 2.74, 3 Tb 2.78

=====

Entry 6:
# BaCr2Br

BaCr2Br after structural relaxation (GGA-PBE, the Alexandria database).

## Properties
DFT total energy, eV per atom: -5.009
DOS(E_F), states/eV/cell: 3.00
Energy relative to the elements, uncorrected, eV per atom: 0.702
V, Å³ per cell: 118.3
Magnetic moment, μB per atom: 2.29
ΔE to the lowest computed polymorph, meV/atom: 596

Lattice parameters (Å, degrees): 9.9404 9.9404 9.9404 21.76 21.76 21.76
Last column: nearest neighbours and their distance in Å.
Fractional coordinates of all 4 atoms:
Ba: 0.2500 0.2500 0.2500  6 Cr 3.61, 6 Ba 3.75
Cr: 0.0158 0.0158 0.0158  3 Br 2.92
Cr: 0.4842 0.4842 0.4842  3 Br 2.92
Br: 0.7500 0.7500 0.7500  6 Cr 2.92

=====

Entry 7:
# HfVB3

HfVB3 after structural relaxation (GGA-PBE, the Alexandria database).

## Properties
DFT total energy, eV per atom: -8.695
DOS(E_F), states/eV/cell: 2.00
V, Å³ per cell: 97.0
Magnetic moment, μB per atom: 0.00
ΔE to the lowest computed polymorph, meV/atom: 0

Lattice parameters (Å, degrees): 3.3101 3.0912 9.6209 90.00 99.91 90.00
Last column: nearest neighbours and their distance in Å.
Fractional coordinates of all 10 atoms:
B: 0.5242 0.7500 0.0483  3 B 1.80-1.86
Hf: 0.0732 0.2500 0.1465  12 B 2.45-2.50
B: 0.6722 0.2500 0.3445  2 B 1.81
V: 0.2066 0.7500 0.4132  7 B 2.30-2.36
B: 0.6222 0.7500 0.2445  3 B 1.81-1.86
Hf: 0.9268 0.7500 0.8535  12 B 2.45-2.50
V: 0.7934 0.2500 0.5868  7 B 2.30-2.36
B: 0.3278 0.7500 0.6555  2 B 1.81
B: 0.3778 0.2500 0.7555  3 B 1.81-1.86
B: 0.4758 0.2500 0.9517  3 B 1.80-1.86

=====

Entry 8:
# Pr2SnCl8

Pr2SnCl8 after structural relaxation (GGA-PBE, the Alexandria database).

## Properties
DFT total energy, eV per atom: -4.489
DOS(E_F), states/eV/cell: 0.00
Energy relative to the elements, uncorrected, eV per atom: -1.913
V, Å³ per cell: 348.5
Magnetic moment, μB per atom: 0.00

Lattice parameters (Å, degrees): 4.0998 7.8814 11.0521 83.43 100.69 90.00
Last column: nearest neighbours and their distance in Å.
Fractional coordinates of all 11 atoms:
Pr: 0.1601 0.6609 0.3202  8 Cl 2.77-2.98
Cl: 0.7571 0.6686 0.5141  3 Pr 2.94-2.98, 1 Cl 3.18
Cl: 0.6340 0.9307 0.2679  1 Sn 2.90, 2 Pr 2.96, 1 Cl 3.18
Cl: 0.3836 0.5301 0.7672  2 Pr 2.77
Pr: 0.8399 0.3391 0.6798  8 Cl 2.77-2.98
Cl: 0.0234 0.7504 0.0469  2 Sn 2.85, 1 Pr 2.97
Cl: 0.9766 0.2496 0.9531  2 Sn 2.85, 1 Pr 2.97
Cl: 0.6164 0.4699 0.2328  2 Pr 2.77
Cl: 0.3660 0.0693 0.7321  1 Sn 2.90, 2 Pr 2.96, 1 Cl 3.18
Sn: 0.5000 0.0000 0.0000  6 Cl 2.85-2.90
Cl: 0.2429 0.3314 0.4859  3 Pr 2.94-2.98, 1 Cl 3.18

=====

Entry 9:
# Pu2SCl

Pu2SCl after structural relaxation (GGA-PBE, the Alexandria database).

## Properties
DFT total energy, eV per atom: -9.873
DOS(E_F), states/eV/cell: 11.26
Energy relative to the elements, uncorrected, eV per atom: -1.214
V, Å³ per cell: 85.3
Magnetic moment, μB per atom: 3.20
ΔE to the lowest computed polymorph, meV/atom: 217

Lattice parameters (Å, degrees): 4.9406 4.9406 4.9406 60.00 60.00 60.00
Last column: nearest neighbours and their distance in Å.
Fractional coordinates of all 4 atoms:
Pu: 0.2500 0.2500 0.2500  4 Cl 3.03, 4 S 3.03
Cl: 0.0000 0.0000 0.0000  8 Pu 3.03
Pu: 0.7500 0.7500 0.7500  4 Cl 3.03, 4 S 3.03
S: 0.5000 0.5000 0.5000  8 Pu 3.03

=====

Entry 10:
# Sm3Hg5Bi

Sm3Hg5Bi after structural relaxation (GGA-PBE, the Alexandria database).

## Properties
DFT total energy, eV per atom: -2.616
DOS(E_F), states/eV/cell: 11.46
V, Å³ per cell: 476.9
Magnetic moment, μB per atom: 0.00

Lattice parameters (Å, degrees): 6.5409 9.1757 9.1759 120.00 90.00 90.00
Last column: nearest neighbours and their distance in Å.
Fractional coordinates of all 18 atoms:
Hg: 0.5000 0.6667 0.3333  8 Hg 3.27-3.40, 6 Sm 3.51
Sm: 0.7500 0.3238 0.3238  5 Hg 2.99-3.28
Bi: 0.5000 0.0000 0.0000  2 Bi 3.27, 6 Sm 3.39, 6 Hg 3.61
Hg: 0.7500 0.3503 0.0000  5 Sm 2.99-3.28
Hg: 0.0000 0.6667 0.3333  8 Hg 3.27-3.40, 6 Sm 3.51
Sm: 0.2500 0.6762 0.6762  5 Hg 2.99-3.28
Hg: 0.7500 0.6496 0.6497  5 Sm 2.99-3.28
Hg: 0.0000 0.3333 0.6667  8 Hg 3.27-3.40, 6 Sm 3.51
Hg: 0.5000 0.3333 0.6667  8 Hg 3.27-3.40, 6 Sm 3.51
Hg: 0.2500 0.6497 0.0000  5 Sm 2.99-3.28
Sm: 0.7500 0.0000 0.6762  5 Hg 2.99-3.28
Sm: 0.2500 0.0000 0.3238  5 Hg 2.99-3.28
Sm: 0.7500 0.6762 0.0000  5 Hg 2.99-3.28
Bi: 0.0000 0.0000 0.0000  2 Bi 3.27, 6 Sm 3.39, 6 Hg 3.61
Hg: 0.2500 0.0000 0.6497  5 Sm 2.99-3.28
Hg: 0.2500 0.3504 0.3503  5 Sm 2.99-3.28
Hg: 0.7500 0.0000 0.3503  5 Sm 2.99-3.28
Sm: 0.2500 0.3238 0.0000  5 Hg 2.99-3.28

=====

Entry 11:
# La2CoSi3Ni12

La2CoSi3Ni12 after structural relaxation (GGA-PBE, the Alexandria database).

## Properties
DFT total energy, eV per atom: -5.777
DOS(E_F), states/eV/cell: 16.41
Energy relative to the elements, uncorrected, eV per atom: -0.077
V, Å³ per cell: 265.9
Magnetic moment, μB per atom: 0.15

Lattice parameters (Å, degrees): 8.8875 8.8875 8.8875 40.40 40.40 40.40
Last column: nearest neighbours and their distance in Å.
Fractional coordinates of all 18 atoms:
Ni: 0.9373 0.3454 0.9373  1 Co 2.30, 1 Si 2.31, 4 Ni 2.42-2.51
Ni: 0.0627 0.0627 0.6546  1 Co 2.30, 1 Si 2.31, 4 Ni 2.42-2.51
Ni: 0.9373 0.9373 0.3454  1 Co 2.30, 1 Si 2.31, 4 Ni 2.42-2.51
La: 0.6557 0.6557 0.6557  6 Ni 2.94-3.07
Si: 0.0000 0.0000 0.5000  6 Ni 2.25-2.31
Ni: 0.5897 0.5897 0.1872  2 Si 2.25, 4 Ni 2.42-2.47
Si: 0.5000 0.0000 0.0000  6 Ni 2.25-2.31
Ni: 0.1872 0.5897 0.5897  2 Si 2.25, 4 Ni 2.42-2.47
Ni: 0.3454 0.9373 0.9373  1 Co 2.30, 1 Si 2.31, 4 Ni 2.42-2.51
Ni: 0.5897 0.1872 0.5897  2 Si 2.25, 4 Ni 2.42-2.47
Ni: 0.0627 0.6546 0.0627  1 Co 2.30, 1 Si 2.31, 4 Ni 2.42-2.51
Co: 0.0000 0.0000 0.0000  6 Ni 2.30
Ni: 0.4103 0.8128 0.4103  2 Si 2.25, 4 Ni 2.42-2.47
Ni: 0.8128 0.4103 0.4103  2 Si 2.25, 4 Ni 2.42-2.47
Si: 0.0000 0.5000 0.0000  6 Ni 2.25-2.31
Ni: 0.6546 0.0627 0.0627  1 Co 2.30, 1 Si 2.31, 4 Ni 2.42-2.51
Ni: 0.4103 0.4103 0.8128  2 Si 2.25, 4 Ni 2.42-2.47
La: 0.3443 0.3443 0.3443  6 Ni 2.94-3.07

=====

Entry 12:
# Sm2Ho2Al

Sm2Ho2Al after structural relaxation (GGA-PBE, the Alexandria database).

## Properties
DFT total energy, eV per atom: -4.463
DOS(E_F), states/eV/cell: 14.54
V, Å³ per cell: 297.1
Magnetic moment, μB per atom: 0.00
ΔE to the lowest computed polymorph, meV/atom: 0

Lattice parameters (Å, degrees): 5.3607 5.3607 11.9382 90.00 90.00 120.00
Last column: nearest neighbours and their distance in Å.
Fractional coordinates of all 10 atoms:
Sm: 0.3333 0.6667 0.5933  6 Ho 3.29-3.62, 3 Al 3.62
Ho: 0.0000 0.0000 0.0000  2 Al 2.98, 6 Sm 3.29
Ho: 0.3333 0.6667 0.2500  3 Al 3.09
Sm: 0.6667 0.3333 0.0933  6 Ho 3.29-3.62, 3 Al 3.62
Al: 0.0000 0.0000 0.7500  5 Ho 2.98-3.09
Sm: 0.3333 0.6667 0.9067  6 Ho 3.29-3.62, 3 Al 3.62
Ho: 0.6667 0.3333 0.7500  3 Al 3.09
Ho: 0.0000 0.0000 0.5000  2 Al 2.98, 6 Sm 3.29
Al: 0.0000 0.0000 0.2500  5 Ho 2.98-3.09
Sm: 0.6667 0.3333 0.4067  6 Ho 3.29-3.62, 3 Al 3.62

=====

The lowest V belongs to which entry? Pu2SCl